Entry 1:
The following is a DFT calculation (SCAN) of a PBEsol-optimized structure of LaPrCr2O6.

Unit cell a=7.7062 b=5.4511 c=5.4747 alpha=90.00 beta=90.00 gamma=90.00
Element x y z (fractional)
La  0.0000  0.2433  0.0000
La  0.0000  0.7567  0.5000
Pr  0.5000  0.2590  0.0754
Pr  0.5000  0.7410  0.5754
Cr  0.2510  0.2493  0.5351
Cr  0.2510  0.7507  0.0351
Cr  0.7490  0.2493  0.5351
Cr  0.7490  0.7507  0.0351
O  0.0000  0.3232  0.5475
O  0.0000  0.6768  0.0475
O  0.2116  0.0370  0.2476
O  0.2116  0.9630  0.7476
O  0.2930  0.4657  0.8190
O  0.2930  0.5343  0.3190
O  0.5000  0.1720  0.5191
O  0.5000  0.8280  0.0191
O  0.7070  0.4657  0.8190
O  0.7070  0.5343  0.3190
O  0.7884  0.0370  0.2476
O  0.7884  0.9630  0.7476

Computed properties:
Formation energy (no corrections): -3.251 eV/atom
Crystal system: orthorhombic
Volume: 230 Å³ per cell
Raw total energy: -386.20 eV for the cell shown
SG: No. 26

Entry 2:
The following is a DFT calculation (SCAN) of a PBEsol-optimized structure of ZnCuRu2.

Unit cell a=4.5028 b=4.5028 c=4.5297 alpha=99.06 beta=99.06 gamma=34.92
Element x y z (fractional)
Zn  0.0000  0.0000  0.0000
Cu  0.2502  0.2502  0.7989
Ru  0.4996  0.4996  0.5009
Ru  0.7537  0.7537  0.3043

Computed properties:
Crystal system: monoclinic
Volume: 52 Å³ per cell
Raw total energy: -97.95 eV for the cell shown
SG: No. 8

Entry 3:
The following is a DFT calculation (SCAN) of a PBEsol-optimized structure of TaTePb2.

Unit cell a=5.9246 b=5.9246 c=5.9246 alpha=136.34 beta=136.34 gamma=63.45
Element x y z (fractional)
Ta  0.0000  0.0000  0.0000
Te  0.5000  0.5000  0.0000
Pb  0.2500  0.7500  0.5000
Pb  0.7500  0.2500  0.5000

Computed properties:
Formation energy (no corrections): 0.675 eV/atom
Crystal system: tetragonal
Volume: 98 Å³ per cell
Raw total energy: -252.70 eV for the cell shown
SG: No. 139

Entry 4:
The following is a DFT calculation (SCAN) of a PBEsol-optimized structure of TbGaPd2.

Unit cell a=7.2619 b=7.0540 c=5.5275 alpha=90.00 beta=90.00 gamma=90.00
Element x y z (fractional)
Tb  0.0299  0.2500  0.1432
Tb  0.4701  0.7500  0.6432
Tb  0.5299  0.2500  0.3568
Tb  0.9701  0.7500  0.8568
Ga  0.1152  0.7500  0.3564
Ga  0.3848  0.2500  0.8564
Ga  0.6152  0.7500  0.1436
Ga  0.8848  0.2500  0.6436
Pd  0.1829  0.0515  0.5880
Pd  0.1829  0.4485  0.5880
Pd  0.3171  0.5515  0.0880
Pd  0.3171  0.9485  0.0880
Pd  0.6829  0.0515  0.9120
Pd  0.6829  0.4485  0.9120
Pd  0.8171  0.5515  0.4120
Pd  0.8171  0.9485  0.4120

Computed properties:
Crystal system: orthorhombic
Volume: 283 Å³ per cell
Raw total energy: -530.21 eV for the cell shown
SG: No. 62

Entry 5:
The following is a DFT calculation (SCAN) of a PBEsol-optimized structure of FeMoRh2.

Unit cell a=2.6914 b=2.6914 c=7.3753 alpha=90.00 beta=90.00 gamma=90.00
Element x y z (fractional)
Fe  0.0000  0.0000  0.0000
Mo  0.0000  0.0000  0.5000
Rh  0.5000  0.5000  0.2412
Rh  0.5000  0.5000  0.7588

Computed properties:
Crystal system: tetragonal
Volume: 53 Å³ per cell
Raw total energy: -121.22 eV for the cell shown
SG: No. 123

Entry 6:
The following is a DFT calculation (SCAN) of a PBEsol-optimized structure of LaCuO2.

Unit cell a=6.0085 b=6.0085 c=6.0085 alpha=37.01 beta=37.01 gamma=37.01
Element x y z (fractional)
La  0.0000  0.0000  0.0000
Cu  0.5000  0.5000  0.5000
O  0.3932  0.3932  0.3932
O  0.6068  0.6068  0.6068

Computed properties:
Formation energy (no corrections): -2.538 eV/atom
Crystal system: trigonal
Volume: 70 Å³ per cell
Raw total energy: -80.92 eV for the cell shown
SG: No. 166

Entry 7:
The following is a DFT calculation (SCAN) of a PBEsol-optimized structure of BiPd6Se.

Unit cell a=7.7507 b=7.7507 c=7.7507 alpha=33.81 beta=33.81 gamma=33.81
Element x y z (fractional)
Bi  0.0000  0.0000  0.0000
Pd  0.1323  0.1323  0.1323
Pd  0.2556  0.2556  0.2556
Pd  0.3837  0.3837  0.3837
Pd  0.6163  0.6163  0.6163
Pd  0.7444  0.7444  0.7444
Pd  0.8677  0.8677  0.8677
Se  0.5000  0.5000  0.5000

Computed properties:
Formation energy (no corrections): -0.132 eV/atom
Crystal system: trigonal
Volume: 128 Å³ per cell
Raw total energy: -296.36 eV for the cell shown
SG: No. 166

Entry 8:
The following is a DFT calculation (SCAN) of a PBEsol-optimized structure of ZrTaCoNi2.

Unit cell a=4.3040 b=4.3040 c=4.3269 alpha=90.00 beta=90.00 gamma=90.00
Element x y z (fractional)
Zr  0.0000  0.0000  0.0000
Ta  0.5000  0.5000  0.0000
Co  0.5000  0.5000  0.5000
Ni  0.0000  0.5000  0.5000
Ni  0.5000  0.0000  0.5000

Computed properties:
Crystal system: tetragonal
Volume: 80 Å³ per cell
Raw total energy: -144.10 eV for the cell shown
SG: No. 123

Entry 9:
The following is a DFT calculation (SCAN) of a PBEsol-optimized structure of AgGeRu2I.

Unit cell a=4.9049 b=4.9049 c=5.0684 alpha=90.00 beta=90.00 gamma=90.00
Element x y z (fractional)
Ag  0.0000  0.0000  0.0000
Ge  0.5000  0.5000  0.5000
Ru  0.0000  0.5000  0.0000
Ru  0.5000  0.0000  0.0000
I  0.0000  0.0000  0.5000

Computed properties:
Formation energy (no corrections): 1.980 eV/atom
Crystal system: tetragonal
Volume: 122 Å³ per cell
Raw total energy: -146.95 eV for the cell shown
SG: No. 123

Entry 10:
The following is a DFT calculation (SCAN) of a PBEsol-optimized structure of CaAlTe.

Unit cell a=5.9938 b=5.9938 c=5.9938 alpha=143.49 beta=143.49 gamma=52.59
Element x y z (fractional)
Ca  0.0000  0.0000  0.0000
Al  0.6878  0.6878  0.0000
Te  0.3146  0.3146  0.0000

Computed properties:
Formation energy (no corrections): -0.472 eV/atom
Crystal system: tetragonal
Volume: 76 Å³ per cell
Raw total energy: -56.08 eV for the cell shown
SG: No. 107

Entry 11:
The following is a DFT calculation (SCAN) of a PBEsol-optimized structure of Nb2ZnCBr.

Unit cell a=4.7000 b=4.7000 c=4.5212 alpha=90.00 beta=90.00 gamma=90.00
Element x y z (fractional)
Nb  0.0000  0.5000  0.0000
Nb  0.5000  0.0000  0.0000
Zn  0.0000  0.0000  0.5000
C  0.5000  0.5000  0.5000
Br  0.0000  0.0000  0.0000

Computed properties:
Formation energy (no corrections): 2.587 eV/atom
Crystal system: tetragonal
Volume: 100 Å³ per cell
Raw total energy: -96.40 eV for the cell shown
SG: No. 123

Entry 12:
The following is a DFT calculation (SCAN) of a PBEsol-optimized structure of KCaCr.

Unit cell a=5.7543 b=5.7543 c=3.5423 alpha=90.00 beta=90.00 gamma=120.00
Element x y z (fractional)
K  0.0000  0.0000  0.0000
Ca  0.6667  0.3333  0.3635
Cr  0.3333  0.6667  0.7155

Computed properties:
Crystal system: trigonal
Volume: 102 Å³ per cell
Raw total energy: -34.43 eV for the cell shown
SG: No. 156